Li4Cr3CoO8 | GGA-PBEsol | optimized geometry

Values from the calculation:
calculated total energy: -356.46 eV per cell

abc: 5.7453 5.7453 14.1408
angles: 90.00 90.00 120.00
Space group R-3m (No. 166, hexagonal axes)
Asymmetric unit:
Li 0.0000 0.0000 0.0000 x3
Li 0.0000 0.5000 0.0000 x9
Cr 0.0000 0.5000 0.5000 x9
Co 0.0000 0.0000 0.5000 x3
O 0.0000 0.0000 0.2423 x6
O 0.0037 0.5019 0.2414 x18

---

Li2CrCo3O8 | GGA-PBEsol | optimized geometry

Values from the calculation:
energy relative to the lowest polymorph listed for this composition: 0.0000 eV per atom

abc: 11.2566 11.2566 13.7868
angles: 90.00 90.00 120.00
Space group R32 (No. 155, hexagonal axes)
Asymmetric unit:
Li 0.0000 0.0000 0.1304 x6
Li 0.0034 0.4968 0.8767 x18
Cr 0.0000 0.0000 0.5000 x3
Cr 0.0000 0.7504 0.0000 x9
Co 0.0000 0.2475 0.0000 x9
Co 0.0000 0.5024 0.5000 x9
Co 0.0826 0.9151 0.6650 x18
O 0.0000 0.0000 0.2678 x6
O 0.0005 0.4988 0.7384 x18
O 0.0155 0.7591 0.7456 x18
O 0.0236 0.2618 0.7441 x18
O 0.0747 0.1516 0.4121 x18
O 0.0909 0.1826 0.9193 x18

---

| no. | calculated density (g/cm³) |
| --- | --- |
| 1 | 4.6 |
| 2 | 4.9 |